# BeGaOsPd

BeGaOsPd after structural relaxation (PBE, Alexandria via LeMat-Bulk).

Values from the calculation:
Total DFT energy (no corrections)   -6.01 eV per atom
Total magnetic moment   0.000 μB/atom

Lattice parameters (Å, degrees): 4.179 4.179 4.179 60.00 60.00 60.00
Element x y z (fractional)
Be 0.000 0.000 0.000
Ga 0.500 0.500 0.500
Os 0.250 0.250 0.250
Pd 0.750 0.750 0.750